(1)
# Sm2DyZn2

A relaxed Sm2DyZn2 crystal (PBE, Alexandria via LeMat-Bulk).

Geometry as CIF:
```
data_Sm2DyZn2
_chemical_formula_sum 'Sm4 Dy2 Zn4'
_cell_length_a 3.658
_cell_length_b 5.178
_cell_length_c 13.578
_cell_angle_alpha 90.00
_cell_angle_beta 97.77
_cell_angle_gamma 90.00
_space_group_name_H-M_alt 'P 1 21/m 1'
_space_group_IT_number 11
_space_group_name_Hall '-P 2yb'
loop_
_atom_site_label
_atom_site_type_symbol
_atom_site_fract_x
_atom_site_fract_y
_atom_site_fract_z
Sm1 Sm 0.046 0.250 0.091
Sm2 Sm 0.231 0.250 0.464
Dy1 Dy 0.144 0.750 0.286
Zn1 Zn 0.361 0.750 0.722
Zn2 Zn 0.448 0.250 0.896
```

Calculated values
electronic total energy	-3.568	eV/atom
M_tot	0.000	μB per atom
energy above the lowest structure with this stoichiometry	0.00	kJ/mol of atoms


(2)
# MgCo2Mo

A relaxed MgCo2Mo crystal (PBE, Alexandria via LeMat-Bulk).

Geometry as CIF:
```
data_MgCo2Mo
_chemical_formula_sum 'Mg3 Co6 Mo3'
_cell_length_a 2.7389
_cell_length_b 2.7389
_cell_length_c 25.6244
_cell_angle_alpha 90.00
_cell_angle_beta 90.00
_cell_angle_gamma 120.00
_space_group_name_H-M_alt 'R -3 m'
_space_group_IT_number 166
_space_group_name_Hall '-R 3 2"'
loop_
_atom_site_label
_atom_site_type_symbol
_atom_site_fract_x
_atom_site_fract_y
_atom_site_fract_z
Mg1 Mg 0.0000 0.0000 0.0000
Co1 Co 0.0000 0.0000 0.2474
Mo1 Mo 0.0000 0.0000 0.5000
```

Calculated values
electronic total energy	-6.396	eV/atom
M_tot	0.553	μB per atom


(3)
# SmHo2Ga3

A relaxed SmHo2Ga3 crystal (PBE, Alexandria via LeMat-Bulk).

Geometry as CIF:
```
data_SmHo2Ga3
_chemical_formula_sum 'Sm4 Ho8 Ga12'
_cell_length_a 9.594
_cell_length_b 10.556
_cell_length_c 6.054
_cell_angle_alpha 90.00
_cell_angle_beta 90.00
_cell_angle_gamma 90.00
_space_group_name_H-M_alt 'I m m a'
_space_group_IT_number 74
_space_group_name_Hall '-I 2b 2'
loop_
_atom_site_label
_atom_site_type_symbol
_atom_site_fract_x
_atom_site_fract_y
_atom_site_fract_z
Sm1 Sm 0.000 0.250 0.249
Ho1 Ho 0.000 0.084 0.750
Ga1 Ga 0.250 0.000 0.000
Ga2 Ga 0.250 0.250 0.750
```

Calculated values
electronic total energy	-4.138	eV/atom
M_tot	0.000	μB per atom
energy above the lowest structure with this stoichiometry	25.45	kJ/mol of atoms


(4)
# Pm2NbSbN5

A relaxed Pm2NbSbN5 crystal (PBE, Alexandria via LeMat-Bulk).

Geometry as CIF:
```
data_Pm2NbSbN5
_chemical_formula_sum 'Pm8 Nb4 Sb4 N20'
_cell_length_a 3.361
_cell_length_b 13.816
_cell_length_c 10.713
_cell_angle_alpha 90.00
_cell_angle_beta 90.00
_cell_angle_gamma 90.00
_space_group_name_H-M_alt 'C m c 21'
_space_group_IT_number 36
_space_group_name_Hall 'C 2c -2'
loop_
_atom_site_label
_atom_site_type_symbol
_atom_site_fract_x
_atom_site_fract_y
_atom_site_fract_z
Pm1 Pm 0.000 0.113 0.000
Pm2 Pm 0.000 0.147 0.577
Nb1 Nb 0.000 0.230 0.307
Sb1 Sb 0.000 0.475 0.759
N1 N 0.000 0.057 0.359
N2 N 0.000 0.280 0.940
N3 N 0.000 0.313 0.676
N4 N 0.000 0.371 0.304
N5 N 0.000 0.491 0.077
```

Calculated values
ΔE_f (raw)	-0.715	eV per atom
electronic total energy	-7.972	eV/atom
M_tot	0.000	μB per atom


(5)
# LiZr2Pa

A relaxed LiZr2Pa crystal (PBE, Alexandria via LeMat-Bulk).

Geometry as CIF:
```
data_LiZr2Pa
_chemical_formula_sum 'Li3 Zr6 Pa3'
_cell_length_a 3.0714
_cell_length_b 3.0714
_cell_length_c 34.0763
_cell_angle_alpha 90.00
_cell_angle_beta 90.00
_cell_angle_gamma 120.00
_space_group_name_H-M_alt 'R -3 m'
_space_group_IT_number 166
_space_group_name_Hall '-R 3 2"'
loop_
_atom_site_label
_atom_site_type_symbol
_atom_site_fract_x
_atom_site_fract_y
_atom_site_fract_z
Li1 Li 0.0000 0.0000 0.0000
Zr1 Zr 0.0000 0.0000 0.4125
Pa1 Pa 0.0000 0.0000 0.5000
```

Calculated values
electronic total energy	-6.755	eV/atom
M_tot	0.000	μB per atom
energy above the lowest structure with this stoichiometry	13.96	kJ/mol of atoms


(6)
# LiLa2Mg

A relaxed LiLa2Mg crystal (PBE, Alexandria via LeMat-Bulk).

Geometry as CIF:
```
data_LiLa2Mg
_chemical_formula_sum 'Li2 La4 Mg2'
_cell_length_a 3.887
_cell_length_b 5.536
_cell_length_c 11.083
_cell_angle_alpha 90.00
_cell_angle_beta 90.00
_cell_angle_gamma 90.00
_space_group_name_H-M_alt 'I m m m'
_space_group_IT_number 71
_space_group_name_Hall '-I 2 2'
loop_
_atom_site_label
_atom_site_type_symbol
_atom_site_fract_x
_atom_site_fract_y
_atom_site_fract_z
Li1 Li 0.000 0.000 0.000
La1 La 0.000 0.500 0.261
Mg1 Mg 0.000 0.000 0.500
```

Calculated values
electronic total energy	-3.267	eV/atom
M_tot	0.000	μB per atom
energy above the lowest structure with this stoichiometry	7.31	kJ/mol of atoms